(1)
First-principles (PBE-GGA) data for an optimized crystal structure of Nb2OsWS, as listed in Alexandria.

Values from the calculation:
Theoretical density, g cm⁻³: 9.48
Fermi-level density of states, states/eV per atom: 1.32
E_tot, eV/atom: -8.170

Lattice parameters (Å, degrees): 4.967 4.967 4.202 90.00 90.00 90.00
Element x y z (fractional)
Nb 0.000 0.500 0.000
Nb 0.500 0.000 0.000
Os 0.000 0.000 0.000
W 0.500 0.500 0.500
S 0.000 0.000 0.500


(2)
First-principles (PBE-GGA) data for an optimized crystal structure of LaPm4Ir4, as listed in Alexandria.

Values from the calculation:
Calculated formation energy, eV/atom: -0.58
Theoretical density, g cm⁻³: 10.30
Fermi-level density of states, states/eV per atom: 0.52
E_tot, eV/atom: -7.173

Lattice parameters (Å, degrees): 9.093 9.093 5.800 90.00 90.00 90.00
Element x y z (fractional)
La 0.250 0.250 0.250
La 0.750 0.750 0.750
Pm 0.076 0.660 0.144
Pm 0.160 0.924 0.644
Pm 0.340 0.576 0.644
Pm 0.424 0.840 0.144
Pm 0.576 0.160 0.856
Pm 0.660 0.424 0.356
Pm 0.840 0.076 0.356
Pm 0.924 0.340 0.856
Ir 0.030 0.619 0.642
Ir 0.119 0.970 0.142
Ir 0.381 0.530 0.142
Ir 0.470 0.881 0.642
Ir 0.530 0.119 0.358
Ir 0.619 0.470 0.858
Ir 0.881 0.030 0.858
Ir 0.970 0.381 0.358


(3)
First-principles (PBE-GGA) data for an optimized crystal structure of SrB2H6, as listed in Alexandria.

Values from the calculation:
Polymorph energy (0 for the lowest one), meV/atom: 1782
Theoretical density, g cm⁻³: 2.45
Fermi-level density of states, states/eV per atom: 0.37
E_tot, eV/atom: -2.514

Lattice parameters (Å, degrees): 4.796 4.796 4.796 60.00 60.00 60.00
Element x y z (fractional)
Sr 0.000 0.000 0.000
B 0.250 0.250 0.250
B 0.750 0.750 0.750
H 0.364 0.364 0.636
H 0.364 0.636 0.364
H 0.364 0.636 0.636
H 0.636 0.364 0.364
H 0.636 0.364 0.636
H 0.636 0.636 0.364


(4)
First-principles (PBE-GGA) data for an optimized crystal structure of MnRePdSe, as listed in Alexandria.

Values from the calculation:
Polymorph energy (0 for the lowest one), meV/atom: 150
Theoretical density, g cm⁻³: 10.99
Fermi-level density of states, states/eV per atom: 0.61
E_tot, eV/atom: -7.349

Lattice parameters (Å, degrees): 4.512 4.512 5.998 120.74 120.74 38.90
Element x y z (fractional)
Mn 0.000 0.000 0.000
Re 0.383 0.383 0.266
Pd 0.647 0.647 0.806
Se 0.737 0.737 0.445


(5)
First-principles (PBE-GGA) data for an optimized crystal structure of RbHCl3, as listed in Alexandria.

Values from the calculation:
Polymorph energy (0 for the lowest one), meV/atom: 64
Theoretical density, g cm⁻³: 2.23
Fermi-level density of states, states/eV per atom: 0.49
E_tot, eV/atom: -2.780

Lattice parameters (Å, degrees): 5.991 6.591 7.267 90.00 90.08 90.00
Element x y z (fractional)
Rb 0.250 0.250 0.197
Rb 0.750 0.750 0.803
H 0.249 0.250 0.698
H 0.751 0.750 0.302
Cl 0.249 0.016 0.681
Cl 0.249 0.484 0.681
Cl 0.251 0.750 0.033
Cl 0.749 0.250 0.967
Cl 0.751 0.516 0.319
Cl 0.751 0.984 0.319